# LiBH2, relaxed, DFT PBE
data_LiBH2
_chemical_formula_sum 'Li4 B4 H8'
_symmetry_space_group_name_H-M 'C 1 m 1'
_symmetry_Int_Tables_number 8
_cell_length_a 6.0448
_cell_length_b 3.1276
_cell_length_c 7.0910
_cell_angle_alpha 90.00
_cell_angle_beta 109.39
_cell_angle_gamma 90.00
loop_
_symmetry_equiv_pos_as_xyz
'x,y,z'
'x,-y,z'
'x+1/2,y+1/2,z'
'x+1/2,-y+1/2,z'
loop_
_atom_site_label
_atom_site_fract_x
_atom_site_fract_y
_atom_site_fract_z
Li1 0.0000 0.0000 0.0000
Li2 0.1538 0.0000 0.6200
B1 0.2765 0.5000 0.1933
B2 0.4033 0.0000 0.2746
H1 0.1357 0.5000 0.2961
H2 0.1596 0.5000 0.0107
H3 0.3709 0.5000 0.7241
H4 0.4661 0.0000 0.4604
# Theoretical density, g/cm3: 1.04
# Total DFT energy (no corrections), eV per atom: -3.97

***

# Li3BH6, relaxed, DFT PBE
data_Li3BH6
_chemical_formula_sum 'Li18 B6 H36'
_symmetry_space_group_name_H-M 'R -3'
_symmetry_Int_Tables_number 148
_symmetry_space_group_name_Hall '-R 3'
_cell_length_a 7.6675
_cell_length_b 7.6675
_cell_length_c 8.4802
_cell_angle_alpha 90.00
_cell_angle_beta 90.00
_cell_angle_gamma 120.00
loop_
_atom_site_label
_atom_site_fract_x
_atom_site_fract_y
_atom_site_fract_z
Li1 0.0223 0.2206 0.2152
B1 0.0000 0.0000 0.0000
B2 0.0000 0.0000 0.5000
H1 0.0200 0.1503 0.5926
H2 0.0374 0.4154 0.3648
# Theoretical density, g/cm3: 0.87
# Total DFT energy (no corrections), eV per atom: -3.03

***

# Li2B7H7, relaxed, DFT PBE
data_Li2B7H7
_chemical_formula_sum 'Li4 B14 H14'
_symmetry_space_group_name_H-M 'C 1 2 1'
_symmetry_Int_Tables_number 5
_cell_length_a 7.0543
_cell_length_b 9.7032
_cell_length_c 5.5689
_cell_angle_alpha 90.00
_cell_angle_beta 128.75
_cell_angle_gamma 90.00
loop_
_symmetry_equiv_pos_as_xyz
'x,y,z'
'-x,y,-z'
'x+1/2,y+1/2,z'
'-x+1/2,y+1/2,-z'
loop_
_atom_site_label
_atom_site_fract_x
_atom_site_fract_y
_atom_site_fract_z
Li1 0.0000 0.0000 0.0000
Li2 0.0000 0.4160 0.0000
B1 0.0000 0.9983 0.5000
B2 0.1182 0.2638 0.6829
B3 0.1294 0.1464 0.4402
B4 0.1901 0.1017 0.7950
H1 0.0000 0.8742 0.5000
H2 0.1474 0.5744 0.9396
H3 0.2249 0.3591 0.8576
H4 0.2363 0.6446 0.6244
# Theoretical density, g/cm3: 1.08
# Total DFT energy (no corrections), eV per atom: -4.82

***

# LiB6H2, relaxed, DFT PBE
data_LiB6H2
_chemical_formula_sum 'Li1 B6 H2'
_symmetry_space_group_name_H-M 'P -1'
_symmetry_Int_Tables_number 2
_cell_length_a 3.2537
_cell_length_b 4.4495
_cell_length_c 5.5087
_cell_angle_alpha 81.80
_cell_angle_beta 73.21
_cell_angle_gamma 78.70
loop_
_symmetry_equiv_pos_as_xyz
'x,y,z'
'-x,-y,-z'
loop_
_atom_site_label
_atom_site_fract_x
_atom_site_fract_y
_atom_site_fract_z
Li1 0.0000 0.0000 0.0000
B1 0.1439 0.1540 0.3794
B2 0.2786 0.5274 0.4220
B3 0.3625 0.8480 0.5980
H1 0.3586 0.6444 0.2027
# Theoretical density, g/cm3: 1.64
# Total DFT energy (no corrections), eV per atom: -5.32

***

# LiBH4, relaxed, DFT PBE
data_LiBH4
_chemical_formula_sum 'Li2 B2 H8'
_symmetry_space_group_name_H-M 'P 1 21/m 1'
_symmetry_Int_Tables_number 11
_cell_length_a 4.6307
_cell_length_b 4.3869
_cell_length_c 4.9681
_cell_angle_alpha 90.00
_cell_angle_beta 93.89
_cell_angle_gamma 90.00
loop_
_symmetry_equiv_pos_as_xyz
'x,y,z'
'-x,-y,-z'
'-x,y+1/2,-z'
'x,-y+1/2,z'
loop_
_atom_site_label
_atom_site_fract_x
_atom_site_fract_y
_atom_site_fract_z
Li1 0.2384 0.2500 0.0638
B1 0.2529 0.7500 0.8070
H1 0.1021 0.5242 0.7574
H2 0.3410 0.7500 0.0469
H3 0.4486 0.7500 0.6548
# Theoretical density, g/cm3: 0.72
# Total DFT energy (no corrections), eV per atom: -4.01

***

# LiB2H2, relaxed, DFT PBE
data_LiB2H2
_chemical_formula_sum 'Li4 B8 H8'
_symmetry_space_group_name_H-M 'I m m a'
_symmetry_Int_Tables_number 74
_symmetry_space_group_name_Hall '-I 2b 2'
_cell_length_a 2.9769
_cell_length_b 7.9997
_cell_length_c 6.4731
_cell_angle_alpha 90.00
_cell_angle_beta 90.00
_cell_angle_gamma 90.00
loop_
_atom_site_label
_atom_site_fract_x
_atom_site_fract_y
_atom_site_fract_z
Li1 0.0000 0.0000 0.0000
B1 0.0000 0.2500 0.1925
B2 0.0000 0.2500 0.4638
H1 0.0000 0.1290 0.5859
# Theoretical density, g/cm3: 1.32
# Total DFT energy (no corrections), eV per atom: -4.53

***

# LiBH2, relaxed, DFT PBE
data_LiBH2
_chemical_formula_sum 'Li4 B4 H8'
_symmetry_space_group_name_H-M 'F m -3 m'
_symmetry_Int_Tables_number 225
_symmetry_space_group_name_Hall '-F 4 2 3'
_cell_length_a 4.6163
_cell_length_b 4.6163
_cell_length_c 4.6163
_cell_angle_alpha 90.00
_cell_angle_beta 90.00
_cell_angle_gamma 90.00
loop_
_atom_site_label
_atom_site_fract_x
_atom_site_fract_y
_atom_site_fract_z
Li1 0.0000 0.0000 0.0000
B1 0.0000 0.0000 0.5000
H1 0.2500 0.2500 0.2500
# Theoretical density, g/cm3: 1.33
# Total DFT energy (no corrections), eV per atom: -2.93

***

# Li3BH6, relaxed, DFT PBE
data_Li3BH6
_chemical_formula_sum 'Li6 B2 H12'
_symmetry_space_group_name_H-M 'P 1'
_symmetry_Int_Tables_number 1
_cell_length_a 4.7721
_cell_length_b 5.7049
_cell_length_c 7.1572
_cell_angle_alpha 71.74
_cell_angle_beta 84.00
_cell_angle_gamma 88.47
loop_
_symmetry_equiv_pos_as_xyz
'x,y,z'
loop_
_atom_site_label
_atom_site_fract_x
_atom_site_fract_y
_atom_site_fract_z
Li1 0.0000 0.0000 0.0000
Li2 0.0103 0.5673 0.3449
Li3 0.1340 0.5411 0.8852
Li4 0.2535 0.0719 0.5486
Li5 0.4867 0.9355 0.2076
Li6 0.6312 0.4012 0.1848
B1 0.1441 0.2402 0.1984
B2 0.3501 0.4896 0.5807
H1 0.1229 0.3805 0.6465
H2 0.1432 0.8777 0.8039
H3 0.2312 0.4633 0.1416
H4 0.3022 0.6885 0.4564
H5 0.4628 0.5326 0.7118
H6 0.5117 0.3643 0.5074
H7 0.6623 0.0553 0.8537
H8 0.6649 0.1691 0.8890
H9 0.6693 0.8901 0.6026
H10 0.6937 0.9797 0.4980
H11 0.7602 0.7294 0.1686
H12 0.9816 0.2336 0.3500
# Theoretical density, g/cm3: 0.68
# Total DFT energy (no corrections), eV per atom: -3.40

***

# LiBH2, relaxed, DFT PBE
data_LiBH2
_chemical_formula_sum 'Li4 B4 H8'
_symmetry_space_group_name_H-M 'C 1 2/m 1'
_symmetry_Int_Tables_number 12
_cell_length_a 7.3661
_cell_length_b 5.4206
_cell_length_c 3.8576
_cell_angle_alpha 90.00
_cell_angle_beta 118.55
_cell_angle_gamma 90.00
loop_
_symmetry_equiv_pos_as_xyz
'x,y,z'
'-x,-y,-z'
'-x,y,-z'
'x,-y,z'
'x+1/2,y+1/2,z'
'-x+1/2,-y+1/2,-z'
'-x+1/2,y+1/2,-z'
'x+1/2,-y+1/2,z'
loop_
_atom_site_label
_atom_site_fract_x
_atom_site_fract_y
_atom_site_fract_z
Li1 0.2229 0.0000 0.1899
B1 0.0000 0.1461 0.5000
H1 0.0564 0.2752 0.7934
# Theoretical density, g/cm3: 0.97
# Total DFT energy (no corrections), eV per atom: -4.04

***

# LiB2H6, relaxed, DFT PBE
data_LiB2H6
_chemical_formula_sum 'Li4 B8 H24'
_symmetry_space_group_name_H-M 'C 1 2/c 1'
_symmetry_Int_Tables_number 15
_cell_length_a 8.1649
_cell_length_b 7.8143
_cell_length_c 4.4156
_cell_angle_alpha 90.00
_cell_angle_beta 112.86
_cell_angle_gamma 90.00
loop_
_symmetry_equiv_pos_as_xyz
'x,y,z'
'-x,-y,-z'
'-x,y,-z+1/2'
'x,-y,z+1/2'
'x+1/2,y+1/2,z'
'-x+1/2,-y+1/2,-z'
'-x+1/2,y+1/2,-z+1/2'
'x+1/2,-y+1/2,z+1/2'
loop_
_atom_site_label
_atom_site_fract_x
_atom_site_fract_y
_atom_site_fract_z
Li1 0.0000 0.1803 0.2500
B1 0.2494 0.0446 0.7723
H1 0.1095 0.3834 0.1157
H2 0.1147 0.1277 0.6934
H3 0.2465 0.1094 0.2512
# Theoretical density, g/cm3: 0.89
# Total DFT energy (no corrections), eV per atom: -3.98

***

# LiBH3, relaxed, DFT PBE
data_LiBH3
_chemical_formula_sum 'Li1 B1 H3'
_symmetry_space_group_name_H-M 'P m -3 m'
_symmetry_Int_Tables_number 221
_symmetry_space_group_name_Hall '-P 4 2 3'
_cell_length_a 3.0910
_cell_length_b 3.0910
_cell_length_c 3.0910
_cell_angle_alpha 90.00
_cell_angle_beta 90.00
_cell_angle_gamma 90.00
loop_
_atom_site_label
_atom_site_fract_x
_atom_site_fract_y
_atom_site_fract_z
Li1 0.0000 0.0000 0.0000
B1 0.5000 0.5000 0.5000
H1 0.0000 0.5000 0.5000
# Theoretical density, g/cm3: 1.17
# Total DFT energy (no corrections), eV per atom: -3.48

***

# LiBH3, relaxed, DFT PBE
data_LiBH3
_chemical_formula_sum 'Li2 B2 H6'
_symmetry_space_group_name_H-M 'P -1'
_symmetry_Int_Tables_number 2
_cell_length_a 4.2324
_cell_length_b 4.2385
_cell_length_c 4.8510
_cell_angle_alpha 75.23
_cell_angle_beta 75.28
_cell_angle_gamma 60.51
loop_
_symmetry_equiv_pos_as_xyz
'x,y,z'
'-x,-y,-z'
loop_
_atom_site_label
_atom_site_fract_x
_atom_site_fract_y
_atom_site_fract_z
Li1 0.1973 0.1985 0.2811
B1 0.0901 0.0920 0.8347
H1 0.1539 0.6875 0.3132
H2 0.2566 0.2572 0.8492
H3 0.3084 0.8516 0.6844
# Theoretical density, g/cm3: 0.95
# Total DFT energy (no corrections), eV per atom: -4.08